# CdMo2Cl PBE optimized geometry
data_CdMo2Cl
_space_group_name_H-M_alt 'P 1'
_space_group_IT_number 1
_space_group_name_Hall 'P 1'
_cell_length_a 3.0074
_cell_length_b 4.7752
_cell_length_c 6.0325
_cell_angle_alpha 54.59
_cell_angle_beta 90.00
_cell_angle_gamma 90.00
loop_
_atom_site_label
_atom_site_fract_x
_atom_site_fract_y
_atom_site_fract_z
_atom_site_occupancy
Cd1 0.5000 0.5000 0.5000 1
Cl1 0.0000 0.0000 0.5000 1
Mo1 0.0000 0.0000 0.0000 1
Mo2 0.5000 0.5000 0.0000 1
# DOS(E_F) (states/eV per cell): 3.289
# Total magnetization (μB/f.u.): 0.00
# E_form (uncorrected) (meV/atom): 745
# E (eV per atom): -5.3605

---

# CdMo2Cl PBE optimized geometry
data_CdMo2Cl
_space_group_name_H-M_alt 'P 1'
_space_group_IT_number 1
_space_group_name_Hall 'P 1'
_cell_length_a 6.4685
_cell_length_b 6.4685
_cell_length_c 5.0338
_cell_angle_alpha 80.92
_cell_angle_beta 80.92
_cell_angle_gamma 27.82
loop_
_atom_site_label
_atom_site_fract_x
_atom_site_fract_y
_atom_site_fract_z
_atom_site_occupancy
Cd1 0.5366 0.5366 0.4896 1
Cl1 0.3076 0.3076 0.0676 1
Mo1 0.0047 0.0047 0.0065 1
Mo2 0.6511 0.6511 0.9363 1
# DOS(E_F) (states/eV per cell): 3.739
# Total magnetization (μB/f.u.): 0.00
# E_form (uncorrected) (meV/atom): 433
# E (eV per atom): -5.6728